Material: Ac3Hg4Rh4
Method: DFT, PBE
State: optimized geometry

```
Ac3Hg4Rh4
1.0
-2.138 4.061 7.615
2.138 -4.061 7.615
2.138 4.061 -7.615
Ac Hg Rh
3 4 4
Direct
0.000 0.000 0.000
0.376 0.876 0.500
0.624 0.124 0.500
0.022 0.332 0.690
0.358 0.668 0.690
0.642 0.332 0.310
0.978 0.668 0.310
0.231 0.231 0.000
0.323 0.500 0.823
0.677 0.500 0.177
0.769 0.769 0.000
```

Properties
SG   Immm (71)
Calculated density   11.90 g/cm3
DFT formation energy   -0.432 eV/atom
Spin magnetization   0.0 μB per formula unit

=====

Material: Ac6Hg2Rh
Method: DFT, PBE
State: optimized geometry

```
Ac6Hg2Rh
1.0
7.564 0.000 0.000
0.000 8.050 0.000
-6.802 0.000 11.338
Ac Hg Rh
12 4 2
Direct
0.121 0.024 0.252
0.121 0.476 0.752
0.237 0.687 0.059
0.237 0.813 0.559
0.363 0.197 0.055
0.363 0.303 0.555
0.637 0.697 0.445
0.637 0.803 0.945
0.763 0.187 0.441
0.763 0.313 0.941
0.879 0.524 0.248
0.879 0.976 0.748
0.319 0.097 0.768
0.319 0.403 0.268
0.681 0.597 0.732
0.681 0.903 0.232
0.000 0.000 0.000
0.000 0.500 0.500
```

Properties
SG   P2_1/c (14)
Calculated density   8.98 g/cm3
DFT formation energy   -0.365 eV/atom
Spin magnetization   0.0 μB per formula unit

=====

Material: Ac8HgRh4
Method: DFT, PBE
State: optimized geometry

```
Ac8HgRh4
1.0
9.732 -2.168 0.000
9.732 2.168 0.000
-9.229 0.000 10.444
Ac Hg Rh
8 1 4
Direct
0.000 0.000 0.000
0.002 0.002 0.435
0.067 0.067 0.772
0.289 0.289 0.308
0.354 0.354 0.645
0.356 0.356 0.080
0.636 0.636 0.348
0.720 0.720 0.732
0.678 0.678 0.040
0.001 0.001 0.216
0.355 0.355 0.864
0.503 0.503 0.585
0.852 0.852 0.494
```

Properties
SG   Cm (8)
Calculated density   9.15 g/cm3
DFT formation energy   -0.541 eV/atom
Spin magnetization   0.0 μB per formula unit

=====

Material: Ac4Hg2Rh
Method: DFT, PBE
State: optimized geometry

```
Ac4Hg2Rh
1.0
-2.865 2.865 8.091
2.865 -2.865 8.091
2.865 2.865 -8.091
Ac Hg Rh
4 2 1
Direct
0.000 0.500 0.500
0.186 0.186 0.000
0.500 0.000 0.500
0.814 0.814 0.000
0.384 0.384 0.000
0.616 0.616 0.000
0.000 0.000 0.000
```

Properties
SG   I4/mmm (139)
Calculated density   8.82 g/cm3
DFT formation energy   -0.382 eV/atom
Offset from the most stable computed form   114 meV/atom
Spin magnetization   0.0 μB per formula unit